Here is a relaxed structure of Ti3InW from Alexandria. Energies are from GGA-PBEsol.

Values from the calculation:
ΔH_f (0 K): 179 kJ/mol of atoms
SG: Pm-3m
energy: -6.498 eV per atom
volume: 21.8 A^3/atom

a b c (Å): 4.775 4.775 4.775
angles (deg): 90.00 90.00 90.00
Element x y z (fractional)
Ti (0.000, 0.500, 0.000)
Ti (0.000, 0.000, 0.500)
Ti (0.500, 0.000, 0.000)
W (0.500, 0.500, 0.500)
In (0.000, 0.000, 0.000)

Here is a relaxed structure of TlIn2 from Alexandria. Energies are from GGA-PBEsol.

Values from the calculation:
ΔH_f (0 K): 1 kJ/mol of atoms
SG: Pnma
excess energy over the best structure of this formula in the dataset: 8.1 meV per atom
energy: -2.850 eV per atom
volume: 26.3 A^3/atom

a b c (Å): 5.110 6.411 9.619
angles (deg): 90.00 90.00 90.00
Element x y z (fractional)
In (0.750, 0.384, 0.756)
In (0.250, 0.116, 0.256)
In (0.750, 0.884, 0.744)
In (0.250, 0.616, 0.244)
In (0.750, 0.373, 0.085)
In (0.250, 0.127, 0.585)
In (0.750, 0.873, 0.415)
In (0.250, 0.627, 0.915)
Tl (0.750, 0.873, 0.082)
Tl (0.250, 0.627, 0.582)
Tl (0.750, 0.373, 0.418)
Tl (0.250, 0.127, 0.918)

Here is a relaxed structure of Tl2In from Alexandria. Energies are from GGA-PBEsol.

Values from the calculation:
ΔH_f (0 K): 1 kJ/mol of atoms
SG: P-62m
energy: -2.739 eV per atom
volume: 27.2 A^3/atom

a b c (Å): 3.298 9.255 9.255
angles (deg): 120.00 90.00 90.00
Element x y z (fractional)
In (0.000, 0.667, 0.333)
In (0.000, 0.333, 0.667)
In (0.500, 0.000, 0.000)
Tl (0.000, 0.693, 0.693)
Tl (0.000, 0.000, 0.307)
Tl (0.000, 0.307, 0.000)
Tl (0.500, 0.358, 0.358)
Tl (0.500, 0.000, 0.642)
Tl (0.500, 0.642, 0.000)

Here is a relaxed structure of TlIn from Alexandria. Energies are from GGA-PBEsol.

Values from the calculation:
ΔH_f (0 K): 12 kJ/mol of atoms
SG: P6_3/mmc
energy: -2.687 eV per atom
volume: 29.2 A^3/atom

a b c (Å): 4.679 4.679 6.167
angles (deg): 90.00 90.00 120.00
Element x y z (fractional)
In (0.000, 0.000, 0.000)
In (0.000, 0.000, 0.500)
Tl (0.667, 0.333, 0.750)
Tl (0.333, 0.667, 0.250)

Here is a relaxed structure of TlIn from Alexandria. Energies are from GGA-PBEsol.

Values from the calculation:
ΔH_f (0 K): 1 kJ/mol of atoms
SG: P-6m2
energy: -2.792 eV per atom
volume: 26.8 A^3/atom

a b c (Å): 3.397 3.397 5.366
angles (deg): 90.00 90.00 120.00
Element x y z (fractional)
Tl (0.333, 0.667, 0.500)
In (0.000, 0.000, 0.000)

Here is a relaxed structure of TlIn2 from Alexandria. Energies are from GGA-PBEsol.

Values from the calculation:
ΔH_f (0 K): 4 kJ/mol of atoms
SG: Fd-3m
excess energy over the best structure of this formula in the dataset: 33.5 meV per atom
energy: -2.824 eV per atom
volume: 27.4 A^3/atom

a b c (Å): 6.149 6.149 6.149
angles (deg): 60.00 60.00 60.00
Element x y z (fractional)
In (0.125, 0.125, 0.125)
In (0.125, 0.125, 0.625)
In (0.125, 0.625, 0.125)
In (0.625, 0.125, 0.125)
Tl (0.500, 0.500, 0.500)
Tl (0.750, 0.750, 0.750)